# 1
The following is a DFT calculation (GGA-PBE) of crystalline NaBe3S at its relaxed geometry.

a = 4.5659 Å, b = 4.5659 Å, c = 4.5659 Å
α = 90.00°, β = 90.00°, γ = 90.00°
Closest atoms and distances in Å follow each position.
Space group Pm-3m (No. 221)
Asymmetric unit:
Na 0.0000 0.0000 0.0000 (multiplicity 1)  6 Be 2.28
Be 0.0000 0.0000 0.5000 (multiplicity 3)  2 Na 2.28
S 0.5000 0.5000 0.5000 (multiplicity 1)  12 Be 3.23

Results
calculated total energy = -1.370 eV/atom
formation energy from raw total energies = 1955 meV/atom

# 2
The following is a DFT calculation (GGA-PBE) of crystalline Na2BeS at its relaxed geometry.

a = 5.2729 Å, b = 5.2729 Å, c = 16.6896 Å
α = 90.00°, β = 90.00°, γ = 90.00°
Closest atoms and distances in Å follow each position.
Space group I-42d (No. 122)
Asymmetric unit:
Na 0.1863 0.2500 0.1250 (multiplicity 8)  2 S 2.66, 2 Be 2.97
Be 0.0000 0.0000 0.5000 (multiplicity 4)  4 Na 2.97
S 0.0000 0.0000 0.0000 (multiplicity 4)  4 Na 2.66

Results
calculated total energy = -2.302 eV/atom
formation energy from raw total energies = 321 meV/atom

# 3
The following is a DFT calculation (GGA-PBE) of crystalline NaBe2S at its relaxed geometry.

a = 6.9616 Å, b = 6.9616 Å, c = 5.2462 Å
α = 90.00°, β = 90.00°, γ = 90.00°
Closest atoms and distances in Å follow each position.
Space group I-42d (No. 122)
Asymmetric unit:
Na 0.0000 0.0000 0.0000 (multiplicity 4)  2 S 2.62, 4 Be 2.86
Be 0.1620 0.2500 0.6250 (multiplicity 8)  2 S 2.18
S 0.0000 0.0000 0.5000 (multiplicity 4)  4 Be 2.18

Results
calculated total energy = -2.995 eV/atom
formation energy from raw total energies = 230 meV/atom